# GGA-PBE MgSnPt2, optimized geometry
# **Total moment**: 0.0 μB per cell
# **E**: -4.449 eV per atom
# **Crystal system**: orthorhombic
# **Calculated formation energy**: -0.03 eV/atom
# **V**: 19.229 A^3/atom
# **Theoretical density**: 11.5 Mg/m³
data_MgSnPt2
_symmetry_space_group_name_H-M 'P 1'
_symmetry_Int_Tables_number 1
_symmetry_space_group_name_Hall 'P 1'
_cell_length_a 2.8861
_cell_length_b 4.8756
_cell_length_c 10.9322
_cell_angle_alpha 90.00
_cell_angle_beta 90.00
_cell_angle_gamma 90.00
loop_
_atom_site_label
_atom_site_type_symbol
_atom_site_fract_x
_atom_site_fract_y
_atom_site_fract_z
Mg1 Mg 0.0000 0.0000 0.0000
Mg2 Mg 0.5000 0.5000 0.5000
Sn1 Sn 0.0000 0.0000 0.5000
Sn2 Sn 0.5000 0.5000 0.0000
Pt1 Pt 0.0000 0.0000 0.2470
Pt2 Pt 0.0000 0.0000 0.7530
Pt3 Pt 0.5000 0.5000 0.2530
Pt4 Pt 0.5000 0.5000 0.7470